[1]
CrPbF4: optimized geometry, PBE with a Hubbard U.

Summary:
Final energy ... -5.564 eV per atom

Structure (POSCAR):
```
CrPbF4
1.0
4.020 0.000 0.000
0.000 7.351 0.000
0.000 0.000 6.544
Cr Pb F
2 2 8
Direct
0.250 0.250 0.075 Cr
0.750 0.750 0.925 Cr
0.250 0.750 0.465 Pb
0.750 0.250 0.535 Pb
0.250 0.070 0.337 F
0.250 0.250 0.767 F
0.250 0.430 0.337 F
0.250 0.750 0.922 F
0.750 0.250 0.078 F
0.750 0.570 0.663 F
0.750 0.750 0.233 F
0.750 0.930 0.663 F
```



[2]
Cr2Pb2F7: optimized geometry, PBE with a Hubbard U.

Summary:
Final energy ... -5.409 eV per atom

Structure (POSCAR):
```
Cr2Pb2F7
1.0
4.406 -3.947 0.000
4.406 3.947 0.000
-1.107 0.000 5.809
Cr Pb F
2 2 7
Direct
0.232 0.768 0.000 Cr
0.768 0.232 0.000 Cr
0.235 0.235 0.520 Pb
0.765 0.765 0.480 Pb
0.041 0.041 0.789 F
0.045 0.557 0.770 F
0.443 0.955 0.230 F
0.500 0.500 0.500 F
0.557 0.045 0.770 F
0.955 0.443 0.230 F
0.959 0.959 0.211 F
```



[3]
CrPb2F11: optimized geometry, PBE with a Hubbard U.

Summary:
Final energy ... -4.472 eV per atom

Structure (POSCAR):
```
CrPb2F11
1.0
-4.112 4.999 5.266
4.112 -4.999 5.266
4.112 4.999 -5.266
Cr Pb F
2 4 22
Direct
0.250 0.250 0.000 Cr
0.750 0.750 0.000 Cr
0.194 0.619 0.813 Pb
0.306 0.119 0.425 Pb
0.694 0.881 0.575 Pb
0.806 0.381 0.187 Pb
0.000 0.500 0.500 F
0.005 0.050 0.805 F
0.048 0.460 0.173 F
0.213 0.040 0.588 F
0.217 0.361 0.578 F
0.245 0.200 0.195 F
0.255 0.450 0.955 F
0.283 0.861 0.144 F
0.287 0.875 0.827 F
0.452 0.625 0.412 F
0.495 0.300 0.045 F
0.500 0.000 0.500 F
0.505 0.700 0.955 F
0.548 0.375 0.588 F
0.713 0.125 0.173 F
0.717 0.139 0.856 F
0.745 0.550 0.045 F
0.755 0.800 0.805 F
0.783 0.639 0.422 F
0.787 0.960 0.412 F
0.952 0.540 0.827 F
0.995 0.950 0.195 F
```



[4]
CrPb2F: optimized geometry, PBE with a Hubbard U.

Summary:
Energy above the lowest structure with this stoichiometry ... 0.25 eV per formula unit
Final energy ... -4.466 eV per atom

Structure (POSCAR):
```
CrPb2F
1.0
-2.602 2.602 8.143
2.602 -2.602 8.143
2.602 2.602 -8.143
Cr Pb F
2 4 2
Direct
0.000 0.000 0.000 Cr
0.750 0.250 0.500 Cr
0.197 0.625 0.072 Pb
0.375 0.447 0.572 Pb
0.553 0.125 0.928 Pb
0.875 0.803 0.428 Pb
0.250 0.750 0.500 F
0.500 0.500 0.000 F
```



[5]
CrPbF6: optimized geometry, PBE with a Hubbard U.

Summary:
Final energy ... -5.159 eV per atom

Structure (POSCAR):
```
CrPbF6
1.0
5.222 0.000 0.000
-2.611 4.523 0.000
0.000 0.000 5.019
Cr Pb F
1 1 6
Direct
0.000 0.000 0.000 Cr
0.333 0.667 0.500 Pb
0.305 0.009 0.224 F
0.305 0.296 0.776 F
0.704 0.009 0.776 F
0.704 0.695 0.224 F
0.991 0.296 0.224 F
0.991 0.695 0.776 F
```



[6]
CrPb3F: optimized geometry, PBE with a Hubbard U.

Summary:
Energy above the lowest structure with this stoichiometry ... 2.02 eV per formula unit
Final energy ... -3.938 eV per atom

Structure (POSCAR):
```
CrPb3F
1.0
5.245 0.000 0.000
0.000 5.245 0.000
0.000 0.000 5.245
Cr Pb F
1 3 1
Direct
0.000 0.000 0.000 Cr
0.000 0.000 0.500 Pb
0.000 0.500 0.000 Pb
0.500 0.000 0.000 Pb
0.500 0.500 0.500 F
```



[7]
Cr2PbF6: optimized geometry, PBE with a Hubbard U.

Summary:
Final energy ... -5.820 eV per atom

Structure (POSCAR):
```
Cr2PbF6
1.0
3.002 -4.693 0.000
3.002 4.693 0.000
-0.305 0.000 5.193
Cr Pb F
2 1 6
Direct
0.168 0.832 0.000 Cr
0.832 0.168 0.000 Cr
0.500 0.500 0.500 Pb
0.139 0.139 0.211 F
0.157 0.520 0.780 F
0.480 0.843 0.220 F
0.520 0.157 0.780 F
0.843 0.480 0.220 F
0.861 0.861 0.789 F
```



[8]
CrPb2F: optimized geometry, PBE with a Hubbard U.

Summary:
Energy above the lowest structure with this stoichiometry ... 0.00 eV per formula unit
Final energy ... -4.528 eV per atom

Structure (POSCAR):
```
CrPb2F
1.0
0.000 3.528 3.528
3.528 0.000 3.528
3.528 3.528 0.000
Cr Pb F
1 2 1
Direct
0.000 0.000 0.000 Cr
0.250 0.250 0.250 Pb
0.750 0.750 0.750 Pb
0.500 0.500 0.500 F
```



[9]
Cr2Pb4F: optimized geometry, PBE with a Hubbard U.

Summary:
Final energy ... -4.536 eV per atom

Structure (POSCAR):
```
Cr2Pb4F
1.0
-2.495 2.495 7.601
2.495 -2.495 7.601
2.495 2.495 -7.601
Cr Pb F
2 4 1
Direct
0.116 0.116 0.000 Cr
0.884 0.884 0.000 Cr
0.000 0.500 0.500 Pb
0.310 0.310 0.000 Pb
0.500 0.000 0.500 Pb
0.690 0.690 0.000 Pb
0.500 0.500 0.000 F
```



[10]
CrPbF3: optimized geometry, PBE with a Hubbard U.

Summary:
Energy above the lowest structure with this stoichiometry ... 1.22 eV per formula unit
Final energy ... -5.258 eV per atom

Structure (POSCAR):
```
CrPbF3
1.0
4.283 0.000 0.000
0.000 4.283 0.000
0.000 0.000 4.283
Cr Pb F
1 1 3
Direct
0.000 0.000 0.000 Cr
0.500 0.500 0.500 Pb
0.000 0.000 0.500 F
0.000 0.500 0.000 F
0.500 0.000 0.000 F
```



[11]
Cr2Pb5F12: optimized geometry, PBE with a Hubbard U.

Summary:
Final energy ... -5.116 eV per atom

Structure (POSCAR):
```
Cr2Pb5F12
1.0
7.533 -3.098 0.000
7.533 3.098 0.000
-3.124 0.000 7.583
Cr Pb F
2 5 12
Direct
0.248 0.752 0.000 Cr
0.752 0.248 0.000 Cr
0.000 0.000 0.500 Pb
0.284 0.284 0.587 Pb
0.303 0.303 0.143 Pb
0.697 0.697 0.857 Pb
0.716 0.716 0.413 Pb
0.009 0.009 0.175 F
0.089 0.575 0.924 F
0.117 0.618 0.399 F
0.382 0.883 0.601 F
0.425 0.911 0.076 F
0.490 0.490 0.829 F
0.510 0.510 0.171 F
0.575 0.089 0.924 F
0.618 0.117 0.399 F
0.883 0.382 0.601 F
0.911 0.425 0.076 F
0.991 0.991 0.825 F
```



[12]
CrPbF3: optimized geometry, PBE with a Hubbard U.

Summary:
Energy above the lowest structure with this stoichiometry ... 0.00 eV per formula unit
Final energy ... -5.501 eV per atom

Structure (POSCAR):
```
CrPbF3
1.0
7.736 0.000 0.000
0.000 6.397 0.000
-1.359 0.000 7.111
Cr Pb F
4 4 12
Direct
0.065 0.248 0.423 Cr
0.065 0.252 0.923 Cr
0.935 0.748 0.077 Cr
0.935 0.752 0.577 Cr
0.466 0.626 0.209 Pb
0.466 0.874 0.709 Pb
0.534 0.126 0.291 Pb
0.534 0.374 0.791 Pb
0.068 0.106 0.173 F
0.068 0.394 0.673 F
0.163 0.598 0.060 F
0.163 0.902 0.560 F
0.309 0.134 0.926 F
0.309 0.366 0.426 F
0.691 0.634 0.574 F
0.691 0.866 0.074 F
0.837 0.098 0.440 F
0.837 0.402 0.940 F
0.932 0.606 0.327 F
0.932 0.894 0.827 F
```



[13]
CrPt2PbF: optimized geometry, PBE with a Hubbard U.

Summary:
Final energy ... -4.659 eV per atom

Structure (POSCAR):
```
CrPt2PbF
1.0
4.565 0.000 0.000
0.000 4.565 0.000
0.000 0.000 4.684
Cr Pt Pb F
1 2 1 1
Direct
0.000 0.000 0.000 Cr
0.000 0.500 0.500 Pt
0.500 0.000 0.500 Pt
0.500 0.500 0.000 Pb
0.500 0.500 0.500 F
```



[14]
Rb3Cr2PbF9: optimized geometry, PBE with a Hubbard U.

Summary:
Final energy ... -5.124 eV per atom

Structure (POSCAR):
```
Rb3Cr2PbF9
1.0
6.254 0.000 0.000
-3.127 5.416 0.000
0.000 0.000 7.827
Rb Cr Pb F
3 2 1 9
Direct
0.000 0.000 0.000 Rb
0.333 0.667 0.683 Rb
0.667 0.333 0.317 Rb
0.333 0.667 0.149 Cr
0.667 0.333 0.851 Cr
0.000 0.000 0.500 Pb
0.000 0.500 0.000 F
0.177 0.353 0.309 F
0.177 0.823 0.309 F
0.353 0.177 0.691 F
0.500 0.000 0.000 F
0.500 0.500 0.000 F
0.647 0.823 0.309 F
0.823 0.177 0.691 F
0.823 0.647 0.691 F
```



[15]
ScCrPbF6: optimized geometry, PBE with a Hubbard U.

Summary:
Final energy ... -6.017 eV per atom

Structure (POSCAR):
```
ScCrPbF6
1.0
5.796 0.000 0.000
-2.898 5.020 0.000
0.000 0.000 10.494
Sc Cr Pb F
2 2 2 12
Direct
0.333 0.667 0.250 Sc
0.667 0.333 0.750 Sc
0.333 0.667 0.750 Cr
0.667 0.333 0.250 Cr
0.000 0.000 0.000 Pb
0.000 0.000 0.500 Pb
0.045 0.371 0.140 F
0.045 0.674 0.360 F
0.326 0.371 0.360 F
0.326 0.955 0.140 F
0.371 0.045 0.640 F
0.371 0.326 0.860 F
0.629 0.674 0.140 F
0.629 0.955 0.360 F
0.674 0.045 0.860 F
0.674 0.629 0.640 F
0.955 0.326 0.640 F
0.955 0.629 0.860 F
```



[16]
CrPbSeF2: optimized geometry, PBE with a Hubbard U.

Summary:
Final energy ... -5.306 eV per atom

Structure (POSCAR):
```
CrPbSeF2
1.0
4.186 0.000 0.000
0.000 4.186 0.000
0.000 0.000 5.723
Cr Pb Se F
1 1 1 2
Direct
0.000 0.000 0.000 Cr
0.500 0.500 0.500 Pb
0.000 0.000 0.500 Se
0.000 0.500 0.000 F
0.500 0.000 0.000 F
```



[17]
Sr2CrPbF8: optimized geometry, PBE with a Hubbard U.

Summary:
Final energy ... -5.654 eV per atom

Structure (POSCAR):
```
Sr2CrPbF8
1.0
4.187 0.000 0.000
0.503 5.737 0.000
0.118 0.679 8.213
Sr Cr Pb F
2 1 1 8
Direct
0.004 0.016 0.242 Sr
0.996 0.984 0.758 Sr
0.500 0.500 0.000 Cr
0.500 0.500 0.500 Pb
0.004 0.243 0.486 F
0.100 0.731 0.019 F
0.454 0.306 0.216 F
0.469 0.202 0.738 F
0.531 0.798 0.262 F
0.546 0.694 0.784 F
0.900 0.269 0.981 F
0.996 0.757 0.514 F
```



[18]
SrCrPbF6: optimized geometry, PBE with a Hubbard U.

Summary:
Final energy ... -5.510 eV per atom

Structure (POSCAR):
```
SrCrPbF6
1.0
6.058 0.000 0.000
-3.029 5.247 0.000
0.000 0.000 9.971
Sr Cr Pb F
2 2 2 12
Direct
0.333 0.667 0.250 Sr
0.667 0.333 0.750 Sr
0.333 0.667 0.750 Cr
0.667 0.333 0.250 Cr
0.000 0.000 0.000 Pb
0.000 0.000 0.500 Pb
0.039 0.366 0.636 F
0.039 0.672 0.864 F
0.328 0.366 0.864 F
0.328 0.961 0.636 F
0.366 0.039 0.136 F
0.366 0.328 0.364 F
0.634 0.672 0.636 F
0.634 0.961 0.864 F
0.672 0.039 0.364 F
0.672 0.634 0.136 F
0.961 0.328 0.136 F
0.961 0.634 0.364 F
```



[19]
TaCrPbF2: optimized geometry, PBE with a Hubbard U.

Summary:
Final energy ... -6.161 eV per atom

Structure (POSCAR):
```
TaCrPbF2
1.0
4.101 0.000 0.000
0.000 4.101 0.000
0.000 0.000 5.832
Ta Cr Pb F
1 1 1 2
Direct
0.000 0.000 0.000 Ta
0.000 0.000 0.500 Cr
0.500 0.500 0.500 Pb
0.000 0.500 0.000 F
0.500 0.000 0.000 F
```



[20]
Tl3Cr2PbF9: optimized geometry, PBE with a Hubbard U.

Summary:
Final energy ... -4.989 eV per atom

Structure (POSCAR):
```
Tl3Cr2PbF9
1.0
6.209 0.000 0.000
-3.104 5.377 0.000
0.000 0.000 7.938
Tl Cr Pb F
3 2 1 9
Direct
0.000 0.000 0.000 Tl
0.333 0.667 0.701 Tl
0.667 0.333 0.299 Tl
0.333 0.667 0.150 Cr
0.667 0.333 0.850 Cr
0.000 0.000 0.500 Pb
0.000 0.500 0.000 F
0.175 0.350 0.302 F
0.175 0.825 0.302 F
0.350 0.175 0.698 F
0.500 0.000 0.000 F
0.500 0.500 0.000 F
0.650 0.825 0.302 F
0.825 0.175 0.698 F
0.825 0.650 0.698 F
```